1.
Computed, not measured: crystalline MgNbPd6 at its relaxed geometry at the PBE-GGA level of DFT.

The structure belongs to space group P4/mmm (No. 123); the cell edges are 3.9658, 3.9658 and 7.8795 Å and the angles 90.00°, 90.00° and 90.00°. The asymmetric unit holds Mg at (0.0000, 0.0000, 0.0000), Nb at (0.0000, 0.0000, 0.5000), Pd at (0.0000, 0.5000, 0.2556), Pd at (0.5000, 0.5000, 0.0000) and Pd at (0.5000, 0.5000, 0.5000).

As for the calculated volume: 124 Å³ per cell. As for the electronic total energy: -5.860 eV/atom.



2.
Computed, not measured: crystalline Rb2Na3ReO6 at its relaxed geometry at the PBE-GGA level of DFT.

The structure belongs to space group C2/m (No. 12); the cell edges are 5.7832, 10.4092 and 6.3790 Å and the angles 90.00°, 114.11° and 90.00°. The asymmetric unit holds Rb at (0.0000, 0.1770, 0.0000), Na at (0.0000, 0.3344, 0.5000), Na at (0.0000, 0.5000, 0.0000), Re at (0.0000, 0.0000, 0.5000), O at (0.2013, 0.0000, 0.3269) and O at (0.2172, 0.1301, 0.6964).

As for the calculated volume: 351 Å³ per cell. As for the electronic total energy: -5.614 eV/atom.



3.
Computed, not measured: crystalline Gd2AgOs at its relaxed geometry at the PBE-GGA level of DFT.

The structure belongs to space group P4/mmm (No. 123); the cell edges are 3.4227, 3.4227 and 7.6956 Å and the angles 90.00°, 90.00° and 90.00°. The asymmetric unit holds Gd at (0.0000, 0.0000, 0.2203), Ag at (0.5000, 0.5000, 0.5000) and Os at (0.5000, 0.5000, 0.0000).

As for the calculated volume: 90 Å³ per cell. As for the electronic total energy: -6.120 eV/atom.



4.
Computed, not measured: crystalline GdBiN2O at its relaxed geometry at the PBE-GGA level of DFT.

The structure belongs to space group Pmc2_1 (No. 26); the cell edges are 8.0735, 5.8214 and 6.0524 Å and the angles 90.00°, 90.00° and 90.00°. The asymmetric unit holds Gd at (0.0000, 0.2319, 0.0000), Gd at (0.5000, 0.2546, 0.1168), Bi at (0.2530, 0.2666, 0.5626), N at (0.0000, 0.3755, 0.6259), N at (0.3018, 0.4133, 0.8881), N at (0.5000, 0.1156, 0.4895) and O at (0.1794, 0.0563, 0.2615).

As for the calculated volume: 284 Å³ per cell. As for the electronic total energy: -6.660 eV/atom.



5.
Computed, not measured: crystalline YTaCuIr at its relaxed geometry at the PBE-GGA level of DFT.

The structure belongs to space group F-43m (No. 216); the cell edges are 6.4819, 6.4819 and 6.4819 Å and the angles 90.00°, 90.00° and 90.00°. The asymmetric unit holds Y at (0.0000, 0.0000, 0.0000), Ta at (0.2500, 0.2500, 0.7500), Cu at (0.2500, 0.2500, 0.2500) and Ir at (0.0000, 0.0000, 0.5000).

As for the calculated volume: 272 Å³ per cell. As for the electronic total energy: -7.842 eV/atom.



6.
Computed, not measured: crystalline TbTaPO at its relaxed geometry at the PBE-GGA level of DFT.

The structure belongs to space group P4/nmm (No. 129, origin choice 2); the cell edges are 4.0928, 4.0928 and 7.5827 Å and the angles 90.00°, 90.00° and 90.00°. The asymmetric unit holds Tb at (0.2500, 0.7500, 0.0000), Ta at (0.2500, 0.2500, 0.3942), P at (0.2500, 0.2500, 0.7461) and O at (0.2500, 0.7500, 0.5000).

As for the calculated volume: 127 Å³ per cell. As for the electronic total energy: -7.536 eV/atom.



Q: Number 3 is which compound?
A: Gd2AgOs